# 1
# YZrB2

Crystalline YZrB2 at its relaxed geometry (PBE, Alexandria via LeMat-Bulk).

```
data_YZrB2
_chemical_formula_sum 'Y2 Zr2 B4'
_symmetry_space_group_name_H-M 'P 1'
_symmetry_Int_Tables_number 1
_cell_length_a 7.5964
_cell_length_b 7.5964
_cell_length_c 7.5964
_cell_angle_alpha 142.21
_cell_angle_beta 142.21
_cell_angle_gamma 54.51
loop_
_symmetry_equiv_pos_as_xyz
'x,y,z'
loop_
_atom_site_label
_atom_site_fract_x
_atom_site_fract_y
_atom_site_fract_z
Y1 0.0000 0.0000 0.0000
Y2 0.7500 0.2500 0.5000
Zr1 0.2500 0.7500 0.5000
Zr2 0.5000 0.5000 0.0000
B1 0.1798 0.6250 0.0548
B2 0.3750 0.4298 0.5548
B3 0.5702 0.1250 0.9452
B4 0.8750 0.8202 0.4452
```

Computed properties:
* size of the total moment: 0.000 μB/atom
* V: 20.433 A^3/atom
* calculated formation energy: 0.650 eV per atom
* energy: -6.442 eV/atom
* DOS at the Fermi energy: 7.350 states/eV/cell



# 2
# YbB2

Crystalline YbB2 at its relaxed geometry (PBE, Alexandria via LeMat-Bulk).

```
data_YbB2
_chemical_formula_sum 'Yb1 B2'
_symmetry_space_group_name_H-M 'P 1'
_symmetry_Int_Tables_number 1
_cell_length_a 3.2281
_cell_length_b 3.2281
_cell_length_c 3.9199
_cell_angle_alpha 90.00
_cell_angle_beta 90.00
_cell_angle_gamma 120.00
loop_
_symmetry_equiv_pos_as_xyz
'x,y,z'
loop_
_atom_site_label
_atom_site_fract_x
_atom_site_fract_y
_atom_site_fract_z
Yb1 0.0000 0.0000 0.0000
B1 0.3333 0.6667 0.5000
B2 0.6667 0.3333 0.5000
```

Computed properties:
* size of the total moment: 0.001 μB/atom
* V: 11.792 A^3/atom
* calculated formation energy: -0.337 eV per atom
* energy: -5.297 eV/atom
* DOS at the Fermi energy: 6.910 states/eV/cell



# 3
# ZnB

Crystalline ZnB at its relaxed geometry (PBE, Alexandria via LeMat-Bulk).

```
data_ZnB
_chemical_formula_sum 'Zn1 B1'
_symmetry_space_group_name_H-M 'P 1'
_symmetry_Int_Tables_number 1
_cell_length_a 3.4686
_cell_length_b 3.4686
_cell_length_c 3.4686
_cell_angle_alpha 60.00
_cell_angle_beta 60.00
_cell_angle_gamma 60.00
loop_
_symmetry_equiv_pos_as_xyz
'x,y,z'
loop_
_atom_site_label
_atom_site_fract_x
_atom_site_fract_y
_atom_site_fract_z
Zn1 0.0000 0.0000 0.0000
B1 0.2500 0.2500 0.2500
```

Computed properties:
* size of the total moment: 0.000 μB/atom
* V: 14.755 A^3/atom
* calculated formation energy: 1.340 eV per atom
* energy: -2.636 eV/atom
* DOS at the Fermi energy: 1.113 states/eV/cell



# 4
# ZnB

Crystalline ZnB at its relaxed geometry (PBE, Alexandria via LeMat-Bulk).

```
data_ZnB
_chemical_formula_sum 'Zn8 B8'
_symmetry_space_group_name_H-M 'P 1'
_symmetry_Int_Tables_number 1
_cell_length_a 5.3401
_cell_length_b 6.0311
_cell_length_c 6.1763
_cell_angle_alpha 90.00
_cell_angle_beta 90.00
_cell_angle_gamma 90.00
loop_
_symmetry_equiv_pos_as_xyz
'x,y,z'
loop_
_atom_site_label
_atom_site_fract_x
_atom_site_fract_y
_atom_site_fract_z
Zn1 0.1912 0.1367 0.3982
Zn2 0.2279 0.3564 0.7469
Zn3 0.2721 0.6436 0.2469
Zn4 0.3088 0.8633 0.8982
Zn5 0.6912 0.3633 0.6018
Zn6 0.7279 0.1436 0.2531
Zn7 0.7721 0.8564 0.7531
Zn8 0.8088 0.6367 0.1018
B1 0.0987 0.3323 0.0920
B2 0.1419 0.8116 0.5695
B3 0.3581 0.1884 0.0695
B4 0.4013 0.6677 0.5920
B5 0.5987 0.1677 0.9080
B6 0.6419 0.6884 0.4305
B7 0.8581 0.3116 0.9305
B8 0.9013 0.8323 0.4080
```

Computed properties:
* size of the total moment: 0.000 μB/atom
* V: 12.432 A^3/atom
* calculated formation energy: 0.414 eV per atom
* energy: -3.562 eV/atom
* DOS at the Fermi energy: 2.264 states/eV/cell



# 5
# ZnB

Crystalline ZnB at its relaxed geometry (PBE, Alexandria via LeMat-Bulk).

```
data_ZnB
_chemical_formula_sum 'Zn6 B6'
_symmetry_space_group_name_H-M 'P 1'
_symmetry_Int_Tables_number 1
_cell_length_a 4.4274
_cell_length_b 8.5717
_cell_length_c 3.8836
_cell_angle_alpha 90.00
_cell_angle_beta 90.00
_cell_angle_gamma 90.00
loop_
_symmetry_equiv_pos_as_xyz
'x,y,z'
loop_
_atom_site_label
_atom_site_fract_x
_atom_site_fract_y
_atom_site_fract_z
Zn1 0.2500 0.0914 0.0947
Zn2 0.2500 0.4086 0.0947
Zn3 0.2500 0.7500 0.6525
Zn4 0.7500 0.2500 0.3475
Zn5 0.7500 0.5914 0.9053
Zn6 0.7500 0.9086 0.9053
B1 0.2500 0.2500 0.6202
B2 0.2500 0.6543 0.1569
B3 0.2500 0.8457 0.1569
B4 0.7500 0.1543 0.8431
B5 0.7500 0.3457 0.8431
B6 0.7500 0.7500 0.3798
```

Computed properties:
* size of the total moment: 0.000 μB/atom
* V: 12.282 A^3/atom
* calculated formation energy: 0.828 eV per atom
* energy: -3.148 eV/atom
* DOS at the Fermi energy: 4.695 states/eV/cell



# 6
# ZnB

Crystalline ZnB at its relaxed geometry (PBE, Alexandria via LeMat-Bulk).

```
data_ZnB
_chemical_formula_sum 'Zn2 B2'
_symmetry_space_group_name_H-M 'P 1'
_symmetry_Int_Tables_number 1
_cell_length_a 4.0959
_cell_length_b 4.0959
_cell_length_c 4.0959
_cell_angle_alpha 128.88
_cell_angle_beta 100.90
_cell_angle_gamma 100.55
loop_
_symmetry_equiv_pos_as_xyz
'x,y,z'
loop_
_atom_site_label
_atom_site_fract_x
_atom_site_fract_y
_atom_site_fract_z
Zn1 0.2377 0.2377 0.0000
Zn2 0.7623 0.7623 0.0000
B1 0.3513 0.0000 0.3513
B2 0.6487 0.0000 0.6487
```

Computed properties:
* size of the total moment: 0.000 μB/atom
* V: 12.064 A^3/atom
* calculated formation energy: 0.457 eV per atom
* energy: -3.519 eV/atom
* DOS at the Fermi energy: 0.462 states/eV/cell



# 7
# ZnB

Crystalline ZnB at its relaxed geometry (PBE, Alexandria via LeMat-Bulk).

```
data_ZnB
_chemical_formula_sum 'Zn2 B2'
_symmetry_space_group_name_H-M 'P 1'
_symmetry_Int_Tables_number 1
_cell_length_a 3.0403
_cell_length_b 3.0420
_cell_length_c 5.6586
_cell_angle_alpha 95.83
_cell_angle_beta 96.66
_cell_angle_gamma 119.80
loop_
_symmetry_equiv_pos_as_xyz
'x,y,z'
loop_
_atom_site_label
_atom_site_fract_x
_atom_site_fract_y
_atom_site_fract_z
Zn1 0.1526 0.1410 0.3039
Zn2 0.8474 0.8590 0.6961
B1 0.3321 0.6678 0.0000
B2 0.6679 0.3322 0.0000
```

Computed properties:
* size of the total moment: 0.000 μB/atom
* V: 11.083 A^3/atom
* calculated formation energy: 0.239 eV per atom
* energy: -3.736 eV/atom
* DOS at the Fermi energy: 0.584 states/eV/cell



# 8
# ZnB

Crystalline ZnB at its relaxed geometry (PBE, Alexandria via LeMat-Bulk).

```
data_ZnB
_chemical_formula_sum 'Zn4 B4'
_symmetry_space_group_name_H-M 'P 1'
_symmetry_Int_Tables_number 1
_cell_length_a 6.3723
_cell_length_b 6.3723
_cell_length_c 2.6651
_cell_angle_alpha 90.00
_cell_angle_beta 90.00
_cell_angle_gamma 90.00
loop_
_symmetry_equiv_pos_as_xyz
'x,y,z'
loop_
_atom_site_label
_atom_site_fract_x
_atom_site_fract_y
_atom_site_fract_z
Zn1 0.2279 0.2279 0.0000
Zn2 0.2721 0.7279 0.5000
Zn3 0.7279 0.2721 0.5000
Zn4 0.7721 0.7721 0.0000
B1 0.0906 0.9094 0.0000
B2 0.4094 0.4094 0.5000
B3 0.5906 0.5906 0.5000
B4 0.9094 0.0906 0.0000
```

Computed properties:
* size of the total moment: 0.000 μB/atom
* V: 13.528 A^3/atom
* calculated formation energy: 0.565 eV per atom
* energy: -3.410 eV/atom
* DOS at the Fermi energy: 1.064 states/eV/cell



# 9
# ZnB

Crystalline ZnB at its relaxed geometry (PBE, Alexandria via LeMat-Bulk).

```
data_ZnB
_chemical_formula_sum 'Zn4 B4'
_symmetry_space_group_name_H-M 'P 1'
_symmetry_Int_Tables_number 1
_cell_length_a 5.3909
_cell_length_b 5.3909
_cell_length_c 5.3909
_cell_angle_alpha 109.47
_cell_angle_beta 109.47
_cell_angle_gamma 109.47
loop_
_symmetry_equiv_pos_as_xyz
'x,y,z'
loop_
_atom_site_label
_atom_site_fract_x
_atom_site_fract_y
_atom_site_fract_z
Zn1 0.0000 0.0000 0.4269
Zn2 0.0000 0.4269 0.0000
Zn3 0.4269 0.0000 0.0000
Zn4 0.5731 0.5731 0.5731
B1 0.0000 0.0000 0.7989
B2 0.0000 0.7989 0.0000
B3 0.2011 0.2011 0.2011
B4 0.7989 0.0000 0.0000
```

Computed properties:
* size of the total moment: 0.000 μB/atom
* V: 15.075 A^3/atom
* calculated formation energy: 0.360 eV per atom
* energy: -3.616 eV/atom
* DOS at the Fermi energy: 0.093 states/eV/cell



# 10
# ZnB

Crystalline ZnB at its relaxed geometry (PBE, Alexandria via LeMat-Bulk).

```
data_ZnB
_chemical_formula_sum 'Zn4 B4'
_symmetry_space_group_name_H-M 'P 1'
_symmetry_Int_Tables_number 1
_cell_length_a 5.4185
_cell_length_b 5.4185
_cell_length_c 5.4185
_cell_angle_alpha 102.17
_cell_angle_beta 102.17
_cell_angle_gamma 125.33
loop_
_symmetry_equiv_pos_as_xyz
'x,y,z'
loop_
_atom_site_label
_atom_site_fract_x
_atom_site_fract_y
_atom_site_fract_z
Zn1 0.2059 0.7059 0.9119
Zn2 0.2941 0.2059 0.5000
Zn3 0.7059 0.7941 0.5000
Zn4 0.7941 0.2941 0.0881
B1 0.0845 0.4155 0.5000
B2 0.4155 0.9155 0.3309
B3 0.5845 0.0845 0.6691
B4 0.9155 0.5845 0.5000
```

Computed properties:
* size of the total moment: 0.000 μB/atom
* V: 14.413 A^3/atom
* calculated formation energy: 0.659 eV per atom
* energy: -3.317 eV/atom
* DOS at the Fermi energy: 1.038 states/eV/cell



# 11
# ZnB

Crystalline ZnB at its relaxed geometry (PBE, Alexandria via LeMat-Bulk).

```
data_ZnB
_chemical_formula_sum 'Zn1 B1'
_symmetry_space_group_name_H-M 'P 1'
_symmetry_Int_Tables_number 1
_cell_length_a 3.5169
_cell_length_b 3.5169
_cell_length_c 2.1835
_cell_angle_alpha 90.00
_cell_angle_beta 90.00
_cell_angle_gamma 120.00
loop_
_symmetry_equiv_pos_as_xyz
'x,y,z'
loop_
_atom_site_label
_atom_site_fract_x
_atom_site_fract_y
_atom_site_fract_z
Zn1 0.0000 0.0000 0.0000
B1 0.6667 0.3333 0.5000
```

Computed properties:
* size of the total moment: 0.000 μB/atom
* V: 11.694 A^3/atom
* calculated formation energy: 0.878 eV per atom
* energy: -3.098 eV/atom
* DOS at the Fermi energy: 0.623 states/eV/cell



# 12
# ZnB

Crystalline ZnB at its relaxed geometry (PBE, Alexandria via LeMat-Bulk).

```
data_ZnB
_chemical_formula_sum 'Zn1 B1'
_symmetry_space_group_name_H-M 'P 1'
_symmetry_Int_Tables_number 1
_cell_length_a 3.2212
_cell_length_b 3.2212
_cell_length_c 3.2212
_cell_angle_alpha 60.00
_cell_angle_beta 60.00
_cell_angle_gamma 60.00
loop_
_symmetry_equiv_pos_as_xyz
'x,y,z'
loop_
_atom_site_label
_atom_site_fract_x
_atom_site_fract_y
_atom_site_fract_z
Zn1 0.0000 0.0000 0.0000
B1 0.5000 0.5000 0.5000
```

Computed properties:
* size of the total moment: 0.000 μB/atom
* V: 11.817 A^3/atom
* calculated formation energy: 1.164 eV per atom
* energy: -2.811 eV/atom
* DOS at the Fermi energy: 0.524 states/eV/cell



- Look up the V of the ninth one.
  15.075 A^3/atom



- Look up the V of the fifth one.
  12.282 A^3/atom